Arrangement i

Entry from Alexandria via LeMat-Bulk: a relaxed structure of Li2LaFe (GGA-PBE).

```
Li2LaFe
1.0
10.413 -0.028 -0.016
9.970 3.004 -0.016
9.970 1.456 2.628
Fe La Li
1 1 2
direct
0.250 0.250 0.250
0.750 0.750 0.750
0.985 0.985 0.985
0.515 0.515 0.515
```


Arrangement ii

Entry from Alexandria via LeMat-Bulk: a relaxed structure of Li2LaFe (GGA-PBE).

```
Li2LaFe
1.0
-4.173 1.337 -2.693
-2.341 -1.323 2.971
0.079 3.636 1.682
Fe La Li
1 1 2
direct
0.500 0.500 0.000
0.500 0.000 0.500
0.000 0.000 0.000
0.000 0.500 0.500
```


It is arrangement i that is the least stable of them.


Arrangement i

Entry from Alexandria via LeMat-Bulk: a relaxed structure of Li2LaFe (GGA-PBE).

```
Li2LaFe
1.0
-0.339 5.342 6.575
1.547 2.634 7.909
3.160 5.137 5.959
Fe La Li
1 1 2
direct
0.507 0.507 0.507
0.769 0.769 0.769
0.986 0.986 0.986
0.238 0.238 0.238
```


Arrangement ii

Entry from Alexandria via LeMat-Bulk: a relaxed structure of Li2LaFe (GGA-PBE).

```
Li2LaFe
1.0
6.017 0.020 -0.003
5.089 3.210 -0.003
1.720 0.500 4.162
Fe La Li
1 1 2
direct
0.250 0.250 0.250
0.750 0.750 0.750
0.966 0.966 0.033
0.534 0.534 0.467
```


It is arrangement i that is the least stable of them.


Arrangement i

Entry from Alexandria via LeMat-Bulk: a relaxed structure of Li2LaFe (GGA-PBE).

```
Li2LaFe
1.0
-2.043 -2.119 0.027
0.218 -0.272 -4.738
3.891 -3.747 0.394
Fe La Li
1 1 2
direct
0.500 0.500 0.250
0.500 0.500 0.750
0.000 0.000 0.042
0.000 0.000 0.458
```


Arrangement ii

Entry from Alexandria via LeMat-Bulk: a relaxed structure of Li2LaFe (GGA-PBE).

```
Li2LaFe
1.0
4.927 -0.056 -0.046
0.620 4.888 0.046
-2.220 -3.051 3.169
Fe La Li
1 1 2
direct
0.464 0.464 0.000
0.301 0.801 0.500
0.999 0.999 0.000
0.736 0.236 0.500
```


It is arrangement i that is the least stable of them.


Arrangement i

Entry from Alexandria via LeMat-Bulk: a relaxed structure of Li2LaFe (GGA-PBE).

```
Li2LaFe
1.0
-1.861 1.186 -2.741
-1.698 -2.702 -0.017
-5.728 1.158 4.389
Fe La Li
1 1 2
direct
0.000 0.630 0.469
0.500 0.677 0.678
0.000 0.908 0.074
0.500 0.284 0.279
```


Arrangement ii

Entry from Alexandria via LeMat-Bulk: a relaxed structure of Li2LaFe (GGA-PBE).

```
Li2LaFe
1.0
-1.177 -0.057 -4.747
3.166 -1.765 -3.283
-0.917 -4.249 -2.242
Fe La Li
1 1 2
direct
0.500 0.500 0.500
0.750 0.750 0.750
0.000 0.000 0.000
0.250 0.250 0.250
```


It is arrangement ii that is the least stable of them.